# V3GaHg (PBE-GGA, relaxed)
# D(E_F) = 5.94 states/eV/f.u.
# Space-group type = Pm-3m, No. 221
# ΔE_f = 1.02 eV per atom
data_V3GaHg
_chemical_formula_sum 'V3 Ga1 Hg1'
_symmetry_space_group_name_H-M 'P 1'
_symmetry_Int_Tables_number 1
_cell_length_a 4.5520
_cell_length_b 4.5520
_cell_length_c 4.5520
_cell_angle_alpha 90.00
_cell_angle_beta 90.00
_cell_angle_gamma 90.00
loop_
_symmetry_equiv_pos_as_xyz
'x,y,z'
loop_
_atom_site_label
_atom_site_fract_x
_atom_site_fract_y
_atom_site_fract_z
V1 0.0000 0.0000 0.5000
V2 0.0000 0.5000 0.0000
V3 0.5000 0.0000 0.0000
Ga1 0.0000 0.0000 0.0000
Hg1 0.5000 0.5000 0.5000

# VGaHg2 (PBE-GGA, relaxed)
# D(E_F) = 3.29 states/eV/f.u.
# Space-group type = I-42d, No. 122
# ΔE_f = 0.43 eV per atom
data_VGaHg2
_chemical_formula_sum 'V4 Ga4 Hg8'
_symmetry_space_group_name_H-M 'P 1'
_symmetry_Int_Tables_number 1
_cell_length_a 7.6644
_cell_length_b 7.6644
_cell_length_c 5.7404
_cell_angle_alpha 90.00
_cell_angle_beta 90.00
_cell_angle_gamma 90.00
loop_
_symmetry_equiv_pos_as_xyz
'x,y,z'
loop_
_atom_site_label
_atom_site_fract_x
_atom_site_fract_y
_atom_site_fract_z
V1 0.0000 0.0000 0.0000
V2 0.0000 0.5000 0.2500
V3 0.5000 0.0000 0.7500
V4 0.5000 0.5000 0.5000
Ga1 0.0000 0.0000 0.5000
Ga2 0.0000 0.5000 0.7500
Ga3 0.5000 0.0000 0.2500
Ga4 0.5000 0.5000 0.0000
Hg1 0.2458 0.7500 0.6250
Hg2 0.2500 0.2458 0.3750
Hg3 0.2500 0.2542 0.8750
Hg4 0.2542 0.7500 0.1250
Hg5 0.7458 0.2500 0.1250
Hg6 0.7500 0.7458 0.8750
Hg7 0.7500 0.7542 0.3750
Hg8 0.7542 0.2500 0.6250

# VGaHgW2 (PBE-GGA, relaxed)
# D(E_F) = 9.78 states/eV/f.u.
# Space-group type = P4/mmm, No. 123
# ΔE_f = 2.63 eV per atom
data_VGaHgW2
_chemical_formula_sum 'V1 Ga1 Hg1 W2'
_symmetry_space_group_name_H-M 'P 1'
_symmetry_Int_Tables_number 1
_cell_length_a 4.9581
_cell_length_b 4.9581
_cell_length_c 4.7327
_cell_angle_alpha 90.00
_cell_angle_beta 90.00
_cell_angle_gamma 90.00
loop_
_symmetry_equiv_pos_as_xyz
'x,y,z'
loop_
_atom_site_label
_atom_site_fract_x
_atom_site_fract_y
_atom_site_fract_z
V1 0.0000 0.0000 0.0000
Ga1 0.5000 0.5000 0.0000
Hg1 0.0000 0.0000 0.5000
W1 0.0000 0.5000 0.5000
W2 0.5000 0.0000 0.5000

# Y2VGaHg (PBE-GGA, relaxed)
# D(E_F) = 5.22 states/eV/f.u.
# Space-group type = P4/mmm, No. 123
# ΔE_f = 0.49 eV per atom
data_Y2VGaHg
_chemical_formula_sum 'Y2 V1 Ga1 Hg1'
_symmetry_space_group_name_H-M 'P 1'
_symmetry_Int_Tables_number 1
_cell_length_a 5.1294
_cell_length_b 5.1294
_cell_length_c 5.1549
_cell_angle_alpha 90.00
_cell_angle_beta 90.00
_cell_angle_gamma 90.00
loop_
_symmetry_equiv_pos_as_xyz
'x,y,z'
loop_
_atom_site_label
_atom_site_fract_x
_atom_site_fract_y
_atom_site_fract_z
Y1 0.0000 0.5000 0.0000
Y2 0.5000 0.0000 0.0000
V1 0.0000 0.0000 0.0000
Ga1 0.5000 0.5000 0.5000
Hg1 0.0000 0.0000 0.5000

# GaHgW2 (PBE-GGA, relaxed)
# D(E_F) = 3.43 states/eV/f.u.
# Space-group type = Fm-3m, No. 225
# ΔE_f = 0.87 eV per atom
data_GaHgW2
_chemical_formula_sum 'Ga4 Hg4 W8'
_symmetry_space_group_name_H-M 'P 1'
_symmetry_Int_Tables_number 1
_cell_length_a 6.4408
_cell_length_b 6.4408
_cell_length_c 6.4408
_cell_angle_alpha 90.00
_cell_angle_beta 90.00
_cell_angle_gamma 90.00
loop_
_symmetry_equiv_pos_as_xyz
'x,y,z'
loop_
_atom_site_label
_atom_site_fract_x
_atom_site_fract_y
_atom_site_fract_z
Ga1 0.0000 0.0000 0.0000
Ga2 0.0000 0.5000 0.5000
Ga3 0.5000 0.0000 0.5000
Ga4 0.5000 0.5000 0.0000
Hg1 0.0000 0.0000 0.5000
Hg2 0.0000 0.5000 0.0000
Hg3 0.5000 0.0000 0.0000
Hg4 0.5000 0.5000 0.5000
W1 0.2500 0.2500 0.2500
W2 0.2500 0.2500 0.7500
W3 0.2500 0.7500 0.2500
W4 0.2500 0.7500 0.7500
W5 0.7500 0.2500 0.2500
W6 0.7500 0.2500 0.7500
W7 0.7500 0.7500 0.2500
W8 0.7500 0.7500 0.7500

# GaHg3W (PBE-GGA, relaxed)
# D(E_F) = 2.18 states/eV/f.u.
# Space-group type = Pm-3m, No. 221
# ΔE_f = 1.37 eV per atom
data_GaHg3W
_chemical_formula_sum 'Ga1 Hg3 W1'
_symmetry_space_group_name_H-M 'P 1'
_symmetry_Int_Tables_number 1
_cell_length_a 5.1879
_cell_length_b 5.1879
_cell_length_c 5.1879
_cell_angle_alpha 90.00
_cell_angle_beta 90.00
_cell_angle_gamma 90.00
loop_
_symmetry_equiv_pos_as_xyz
'x,y,z'
loop_
_atom_site_label
_atom_site_fract_x
_atom_site_fract_y
_atom_site_fract_z
Ga1 0.0000 0.0000 0.0000
Hg1 0.0000 0.0000 0.5000
Hg2 0.0000 0.5000 0.0000
Hg3 0.5000 0.0000 0.0000
W1 0.5000 0.5000 0.5000

# Ga2HgW (PBE-GGA, relaxed)
# D(E_F) = 2.56 states/eV/f.u.
# Space-group type = I-42d, No. 122
# ΔE_f = 0.73 eV per atom
data_Ga2HgW
_chemical_formula_sum 'Ga8 Hg4 W4'
_symmetry_space_group_name_H-M 'P 1'
_symmetry_Int_Tables_number 1
_cell_length_a 7.2676
_cell_length_b 7.2676
_cell_length_c 5.7617
_cell_angle_alpha 90.00
_cell_angle_beta 90.00
_cell_angle_gamma 90.00
loop_
_symmetry_equiv_pos_as_xyz
'x,y,z'
loop_
_atom_site_label
_atom_site_fract_x
_atom_site_fract_y
_atom_site_fract_z
Ga1 0.2382 0.2500 0.1250
Ga2 0.2500 0.7382 0.3750
Ga3 0.2500 0.7618 0.8750
Ga4 0.2618 0.2500 0.6250
Ga5 0.7382 0.7500 0.6250
Ga6 0.7500 0.2382 0.8750
Ga7 0.7500 0.2618 0.3750
Ga8 0.7618 0.7500 0.1250
Hg1 0.0000 0.0000 0.5000
Hg2 0.0000 0.5000 0.7500
Hg3 0.5000 0.0000 0.2500
Hg4 0.5000 0.5000 0.0000
W1 0.0000 0.0000 0.0000
W2 0.0000 0.5000 0.2500
W3 0.5000 0.0000 0.7500
W4 0.5000 0.5000 0.5000

# GaHg3W (PBE-GGA, relaxed)
# D(E_F) = 5.65 states/eV/f.u.
# Space-group type = Pm-3m, No. 221
# ΔE_f = 1.02 eV per atom
data_GaHg3W
_chemical_formula_sum 'Ga1 Hg3 W1'
_symmetry_space_group_name_H-M 'P 1'
_symmetry_Int_Tables_number 1
_cell_length_a 5.3462
_cell_length_b 5.3462
_cell_length_c 5.3462
_cell_angle_alpha 90.00
_cell_angle_beta 90.00
_cell_angle_gamma 90.00
loop_
_symmetry_equiv_pos_as_xyz
'x,y,z'
loop_
_atom_site_label
_atom_site_fract_x
_atom_site_fract_y
_atom_site_fract_z
Ga1 0.0000 0.0000 0.0000
Hg1 0.0000 0.5000 0.5000
Hg2 0.5000 0.0000 0.5000
Hg3 0.5000 0.5000 0.0000
W1 0.5000 0.5000 0.5000

# GaHgW2 (PBE-GGA, relaxed)
# D(E_F) = 3.95 states/eV/f.u.
# Space-group type = I-42d, No. 122
# ΔE_f = 1.07 eV per atom
data_GaHgW2
_chemical_formula_sum 'Ga4 Hg4 W8'
_symmetry_space_group_name_H-M 'P 1'
_symmetry_Int_Tables_number 1
_cell_length_a 7.3370
_cell_length_b 7.3370
_cell_length_c 5.4187
_cell_angle_alpha 90.00
_cell_angle_beta 90.00
_cell_angle_gamma 90.00
loop_
_symmetry_equiv_pos_as_xyz
'x,y,z'
loop_
_atom_site_label
_atom_site_fract_x
_atom_site_fract_y
_atom_site_fract_z
Ga1 0.0000 0.0000 0.0000
Ga2 0.0000 0.5000 0.2500
Ga3 0.5000 0.0000 0.7500
Ga4 0.5000 0.5000 0.5000
Hg1 0.0000 0.0000 0.5000
Hg2 0.0000 0.5000 0.7500
Hg3 0.5000 0.0000 0.2500
Hg4 0.5000 0.5000 0.0000
W1 0.2243 0.2500 0.1250
W2 0.2500 0.7243 0.3750
W3 0.2500 0.7757 0.8750
W4 0.2757 0.2500 0.6250
W5 0.7243 0.7500 0.6250
W6 0.7500 0.2243 0.8750
W7 0.7500 0.2757 0.3750
W8 0.7757 0.7500 0.1250

# Y2Ga2Hg (PBE-GGA, relaxed)
# D(E_F) = 4.14 states/eV/f.u.
# Space-group type = P4/mbm, No. 127
# ΔE_f = -0.38 eV per atom
data_Y2Ga2Hg
_chemical_formula_sum 'Y4 Ga4 Hg2'
_symmetry_space_group_name_H-M 'P 1'
_symmetry_Int_Tables_number 1
_cell_length_a 8.4492
_cell_length_b 8.4492
_cell_length_c 3.5427
_cell_angle_alpha 90.00
_cell_angle_beta 90.00
_cell_angle_gamma 90.00
loop_
_symmetry_equiv_pos_as_xyz
'x,y,z'
loop_
_atom_site_label
_atom_site_fract_x
_atom_site_fract_y
_atom_site_fract_z
Y1 0.1845 0.3155 0.0000
Y2 0.3155 0.8155 0.0000
Y3 0.6845 0.1845 0.0000
Y4 0.8155 0.6845 0.0000
Ga1 0.1103 0.6103 0.5000
Ga2 0.3897 0.1103 0.5000
Ga3 0.6103 0.8897 0.5000
Ga4 0.8897 0.3897 0.5000
Hg1 0.0000 0.0000 0.0000
Hg2 0.5000 0.5000 0.0000

# Y3Ga2Hg3 (PBE-GGA, relaxed)
# D(E_F) = 4.08 states/eV/f.u.
# Space-group type = Cmcm, No. 63
# ΔE_f = -0.50 eV per atom
data_Y3Ga2Hg3
_chemical_formula_sum 'Y6 Ga4 Hg6'
_symmetry_space_group_name_H-M 'P 1'
_symmetry_Int_Tables_number 1
_cell_length_a 5.9558
_cell_length_b 5.9558
_cell_length_c 15.4311
_cell_angle_alpha 90.00
_cell_angle_beta 90.00
_cell_angle_gamma 136.02
loop_
_symmetry_equiv_pos_as_xyz
'x,y,z'
loop_
_atom_site_label
_atom_site_fract_x
_atom_site_fract_y
_atom_site_fract_z
Y1 0.0787 0.9213 0.6106
Y2 0.0787 0.9213 0.8894
Y3 0.3544 0.6456 0.7500
Y4 0.6456 0.3544 0.2500
Y5 0.9213 0.0787 0.1106
Y6 0.9213 0.0787 0.3894
Ga1 0.2063 0.7937 0.1161
Ga2 0.2063 0.7937 0.3839
Ga3 0.7937 0.2063 0.6161
Ga4 0.7937 0.2063 0.8839
Hg1 0.3715 0.6285 0.2500
Hg2 0.3726 0.6274 0.5339
Hg3 0.3726 0.6274 0.9661
Hg4 0.6274 0.3726 0.0339
Hg5 0.6274 0.3726 0.4661
Hg6 0.6285 0.3715 0.7500

# Y4GaHg (PBE-GGA, relaxed)
# D(E_F) = 8.12 states/eV/f.u.
# Space-group type = P4/mmm, No. 123
# ΔE_f = -0.21 eV per atom
data_Y4GaHg
_chemical_formula_sum 'Y4 Ga1 Hg1'
_symmetry_space_group_name_H-M 'P 1'
_symmetry_Int_Tables_number 1
_cell_length_a 5.0260
_cell_length_b 5.0260
_cell_length_c 7.1952
_cell_angle_alpha 90.00
_cell_angle_beta 90.00
_cell_angle_gamma 90.00
loop_
_symmetry_equiv_pos_as_xyz
'x,y,z'
loop_
_atom_site_label
_atom_site_fract_x
_atom_site_fract_y
_atom_site_fract_z
Y1 0.0000 0.5000 0.2463
Y2 0.0000 0.5000 0.7537
Y3 0.5000 0.0000 0.2463
Y4 0.5000 0.0000 0.7537
Ga1 0.0000 0.0000 0.0000
Hg1 0.5000 0.5000 0.5000